# 1
Cs2NdTmS4 | PBE-GGA | optimized geometry

For the calculated total energy, the calculation gives -5.2423 eV per atom.

The structure belongs to space group P-3m1 (No. 164); the cell edges are 4.1388, 4.1388 and 16.0995 Å and the angles 90.00°, 90.00° and 120.00°. The distinct sites, in fractional coordinates, are Cs at (0.3333, 0.6667, 0.2456), Nd at (0.0000, 0.0000, 0.5000), Tm at (0.0000, 0.0000, 0.0000), S at (0.3333, 0.6667, 0.5968) and S at (0.3333, 0.6667, 0.9126).


# 2
CsNdSbSe3 | PBE-GGA | optimized geometry

For the calculated total energy, the calculation gives -4.3390 eV per atom.

The structure belongs to space group Cmcm (No. 63); the cell edges are 4.4284, 17.1390 and 11.1830 Å and the angles 90.00°, 90.00° and 90.00°. The distinct sites, in fractional coordinates, are Cs at (0.0000, 0.2496, 0.2500), Nd at (0.0000, 0.0000, 0.0000), Sb at (0.0000, 0.4582, 0.7500), Se at (0.0000, 0.0830, 0.7500) and Se at (0.0000, 0.3812, 0.5349).


# 3
Cs2NdScSe4 | PBE-GGA | optimized geometry

For the calculated total energy, the calculation gives -4.9710 eV per atom.

The structure belongs to space group P-3m1 (No. 164); the cell edges are 4.2300, 4.2300 and 16.6026 Å and the angles 90.00°, 90.00° and 120.00°. The distinct sites, in fractional coordinates, are Cs at (0.3333, 0.6667, 0.2571), Nd at (0.0000, 0.0000, 0.0000), Sc at (0.0000, 0.0000, 0.5000), Se at (0.3333, 0.6667, 0.5842) and Se at (0.3333, 0.6667, 0.8994).


# 4
CsNdSnSe3 | PBE-GGA | optimized geometry

Its energy above the most stable polymorph in this dataset is 0 meV/atom.

The structure belongs to space group Pnma (No. 62); the cell edges are 16.7545, 4.3008 and 12.4368 Å and the angles 90.00°, 90.00° and 90.00°. The distinct sites, in fractional coordinates, are Cs at (0.2330, 0.2500, 0.0749), Nd at (0.0024, 0.7500, 0.6472), Sn at (0.0362, 0.2500, 0.9102), Se at (0.0853, 0.7500, 0.2292), Se at (0.0962, 0.2500, 0.5459) and Se at (0.1246, 0.7500, 0.8270).


What did the third record say?
Cs2NdScSe4 | PBE-GGA | optimized geometry

For the calculated total energy, the calculation gives -4.9710 eV per atom.

The structure belongs to space group P-3m1 (No. 164); the cell edges are 4.2300, 4.2300 and 16.6026 Å and the angles 90.00°, 90.00° and 120.00°. The distinct sites, in fractional coordinates, are Cs at (0.3333, 0.6667, 0.2571), Nd at (0.0000, 0.0000, 0.0000), Sc at (0.0000, 0.0000, 0.5000), Se at (0.3333, 0.6667, 0.5842) and Se at (0.3333, 0.6667, 0.8994).


Q: Number 3 is which compound?
A: Cs2NdScSe4